Na2CdIn2Pb4 after structural relaxation. Source: Alexandria via LeMat-Bulk, functional GGA-PBE.

Output
- E_form (eV/atom) = -0.06
- space group = C2/m
- raw total energy (eV for the cell shown) = -24.4

The structure in POSCAR format:
```
Na2CdIn2Pb4
1.0
8.658 -1.783 0.000
8.658 1.783 0.000
-3.669 0.000 8.390
Na Cd In Pb
2 1 2 4
direct
0.147 0.147 0.165 Na
0.853 0.853 0.835 Na
0.000 0.000 0.500 Cd
0.334 0.334 0.500 In
0.666 0.666 0.500 In
0.180 0.180 0.818 Pb
0.483 0.483 0.181 Pb
0.517 0.517 0.819 Pb
0.820 0.820 0.182 Pb
```